# GGA+U BaSr2CoF8, optimized geometry
data_BaSr2CoF8
_chemical_formula_sum 'Ba1 Sr2 Co1 F8'
_cell_length_a 4.292
_cell_length_b 5.704
_cell_length_c 8.038
_cell_angle_alpha 89.63
_cell_angle_beta 89.87
_cell_angle_gamma 84.26
_space_group_name_H-M_alt 'P 1'
_space_group_IT_number 1
loop_
_space_group_symop_operation_xyz
'x,y,z'
loop_
_atom_site_label
_atom_site_fract_x
_atom_site_fract_y
_atom_site_fract_z
Ba1 0.000 0.000 0.000
Sr1 0.499 0.499 0.269
Sr2 0.501 0.501 0.731
Co1 0.000 0.000 0.500
F1 0.045 0.245 0.715
F2 0.046 0.236 0.287
F3 0.410 0.779 0.498
F4 0.478 0.270 0.001
F5 0.522 0.730 0.999
F6 0.590 0.221 0.502
F7 0.954 0.764 0.713
F8 0.955 0.755 0.285
# Electronic total energy ... -5.51 eV per atom
# Magnetization ... 3.0 μB per formula unit